Compound: Ac2SmMnS5
Source: the Alexandria database
Functional: PBE-GGA
Structure: optimized geometry

```
18
Lattice="-3.325 0.211 2.398 0.296 -8.447 -2.362 7.032 -2.542 9.973" Properties=species:S:1:pos:R:3 pbc="T T T"
Ac 3.220 -8.265 8.704
Ac 4.545 -3.751 6.630
Ac 2.043 -2.969 3.094
Ac -1.349 -6.735 2.236
Sm 1.148 -6.507 5.676
Sm -0.341 -3.116 -0.199
Mn 4.749 -3.092 10.369
Mn 1.800 -8.607 3.252
S -0.835 -5.821 -0.646
S 3.910 -5.187 9.390
S 3.993 -10.177 6.430
S 3.958 -6.752 6.080
S 0.658 -9.246 5.239
S 1.546 -3.768 5.988
S 1.704 -6.173 2.905
S 0.150 -0.652 3.778
S -0.941 -3.670 2.531
S 0.072 -0.350 0.130
```

Formation energy without anion corrections (eV/atom): -1.805
Magnetic moment (μB per cell): 8.64